VASP calculation (PBE-GGA) on a geometry-optimized BeCoIr2 structure.

a = 3.599 Å, b = 3.599 Å, c = 7.533 Å
α = 90.00°, β = 90.00°, γ = 90.00°
Space group I-4m2 (No. 119)
Inequivalent atoms, fractional coordinates:
Be  0.000  0.000  0.000
Co  0.000  0.500  0.750
Ir  0.000  0.000  0.500
Ir  0.000  0.500  0.250

Mass density, g cm⁻³: 15.39
Total moment, Bohr magnetons per cell: 0.00
DFT formation energy, eV/atom: -0.127

VASP calculation (PBE-GGA) on a geometry-optimized BeCoIr2 structure.

a = 2.697 Å, b = 3.716 Å, c = 5.089 Å
α = 90.00°, β = 102.45°, γ = 90.00°
Space group P2/m (No. 10)
Inequivalent atoms, fractional coordinates:
Be  0.000  0.000  0.000
Co  0.000  0.000  0.500
Ir  0.368  0.500  0.234

Mass density, g cm⁻³: 15.08
Total moment, Bohr magnetons per cell: 2.31
DFT formation energy, eV/atom: -0.111